4
Lattice="-3.0449 2.2364 -0.1590 -2.0638 -2.6911 1.6723 0.8392 1.3734 3.2457" Properties=species:S:1:pos:R:3 comment="PBE Cr2RuRh, relaxed" delta_e_f_ev_per_atom=0.0334 mass_density_g_cm3=9.873 dft_energy_ev_per_atom=-8.94 magnetic_moment_mub_per_cell=0.00 pbc="T T T"
Ru -0.6123 -0.6588 2.4590
Rh -1.1028 1.8049 1.5433
Cr 0.0000 0.0000 0.0000
Cr -2.5544 -0.2274 0.7567

=====

12
Lattice="-3.2058 1.2575 -3.3293 -0.8018 -3.8213 2.7744 -3.1323 3.9227 4.4978" Properties=species:S:1:pos:R:3 comment="PBE Na2SrNiH8, relaxed" mass_density_g_cm3=2.484 dft_energy_ev_per_atom=-3.29 magnetic_moment_mub_per_cell=0.00 pbc="T T T"
Na -2.8752 0.1540 -0.6188
Na -4.2648 1.2048 4.5617
Sr -1.5662 1.9614 2.2489
Ni 0.0000 0.0000 0.0000
H -6.0215 1.7825 3.0259
H -3.7815 3.2155 3.3360
H -5.5733 3.9183 1.4752
H -1.1185 -0.4236 0.9170
H -3.3585 -1.8566 0.6069
H -1.5666 -2.5595 2.4677
H -3.8840 1.4173 0.8297
H -3.2560 -0.0585 3.1132

=====

20
Lattice="2.6317 0.0000 0.0000 0.0000 9.4519 0.0000 0.0000 0.0000 9.4519" Properties=species:S:1:pos:R:3 comment="PBE BeZn2Si2Ni5, relaxed" mass_density_g_cm3=6.914 dft_energy_ev_per_atom=-4.86 e_form_raw_ev_per_atom=-0.25 magnetic_moment_mub_per_cell=0.00 pbc="T T T"
Be 0.0000 0.0000 0.0000
Be 0.0000 4.7260 4.7260
Zn 0.0000 6.3254 1.5994
Zn 0.0000 3.1266 7.8525
Zn 0.0000 1.5994 3.1266
Zn 0.0000 7.8525 6.3254
Si 0.0000 1.3480 6.0740
Si 0.0000 8.1039 3.3779
Si 0.0000 6.0740 8.1039
Si 0.0000 3.3779 1.3480
Ni 1.3159 1.8339 0.2643
Ni 1.3159 7.6181 9.1877
Ni 1.3159 0.2643 7.6181
Ni 1.3159 6.5599 4.4617
Ni 1.3159 9.1877 1.8339
Ni 1.3159 2.8921 4.9903
Ni 1.3159 4.9903 6.5599
Ni 1.3159 4.4617 2.8921
Ni 1.3159 4.7260 0.0000
Ni 1.3159 0.0000 4.7260

=====

4
Lattice="-0.9612 1.8179 6.5735 0.0833 -1.7256 6.6675 2.6178 0.9387 6.3012" Properties=species:S:1:pos:R:3 comment="PBE CaIN2, relaxed" de_polymorph_ev_per_fu=0.00 mass_density_g_cm3=4.181 dft_energy_ev_per_atom=-4.46 e_form_raw_ev_per_atom=0.59 magnetic_moment_mub_per_cell=0.00 pbc="T T T"
I 0.0000 0.0000 0.0000
Ca 0.8699 0.5155 9.7711
N 1.5610 0.9251 17.5328
N 0.1789 0.1060 2.0094

=====

13
Lattice="-3.2166 3.2946 4.7778 1.0062 -3.6247 7.7845 4.9432 5.9834 3.8096" Properties=species:S:1:pos:R:3 comment="PBE PmDy7Tm5, relaxed" delta_e_f_ev_per_atom=0.2514 de_polymorph_ev_per_fu=0.03 mass_density_g_cm3=8.355 dft_energy_ev_per_atom=-4.31 magnetic_moment_mub_per_cell=0.00 pbc="T T T"
Pm -2.9039 3.2627 5.0103
Dy 0.6617 2.8986 7.6619
Dy 3.4737 2.6115 9.7530
Dy 3.4862 2.8564 4.9850
Dy 2.1260 -0.4632 6.3583
Dy 0.5362 1.4283 3.9837
Dy -0.1082 -0.3113 9.3570
Dy 2.4786 6.0016 6.7453
Tm 0.5664 4.5144 4.3171
Tm 2.2706 2.7688 1.7857
Tm -1.2454 0.0927 6.1464
Tm 0.4588 -1.6529 3.6150
Tm 1.8637 4.2590 12.1406

=====

9
Lattice="-3.6545 4.0985 2.5824 -2.2282 -4.0274 3.2276 2.2602 -1.1524 5.0166" Properties=species:S:1:pos:R:3 comment="PBE Pa2VPt6, relaxed" delta_e_f_ev_per_atom=-0.8049 mass_density_g_cm3=16.832 dft_energy_ev_per_atom=-7.96 magnetic_moment_mub_per_cell=0.61 pbc="T T T"
Pa -3.0893 0.0357 7.6937
Pa -0.5332 -1.1169 3.1329
V 0.0000 0.0000 0.0000
Pt -0.0121 -1.0641 6.0593
Pt -1.1002 -3.0341 7.6364
Pt -2.2061 -2.4695 5.1848
Pt -3.6105 -0.0171 4.7673
Pt -2.5224 1.9529 3.1902
Pt -1.4164 1.3882 5.6417

=====

12
Lattice="-1.7096 4.9735 0.3284 -4.5682 -1.1848 -5.8403 -6.5894 0.1886 5.1159" Properties=species:S:1:pos:R:3 comment="PBE Tb6AlCd5, relaxed" delta_e_f_ev_per_atom=-0.3329 mass_density_g_cm3=8.177 dft_energy_ev_per_atom=-3.34 magnetic_moment_mub_per_cell=0.00 pbc="T T T"
Tb -7.0280 3.3292 -2.4556
Tb -4.7087 3.9305 0.5095
Tb -1.9632 2.1992 -1.2529
Tb -4.3146 1.5895 -4.2590
Tb -8.1585 0.0468 -0.9055
Tb -5.8391 0.6481 2.0596
Al 0.0000 0.0000 0.0000
Cd -7.8102 2.8516 0.7038
Cd -2.7952 1.7091 1.8398
Cd -2.2841 -0.5924 -2.9201
Cd -5.5037 3.4530 3.6046
Cd -5.0569 1.1257 -1.0998

=====

16
Lattice="-2.9756 -2.3875 2.3128 3.5304 0.9766 5.5500 -6.9580 11.0723 2.4777" Properties=species:S:1:pos:R:3 comment="PBE Tb2TlCd5, relaxed" delta_e_f_ev_per_atom=-0.2527 de_polymorph_ev_per_fu=0.00 mass_density_g_cm3=9.120 dft_energy_ev_per_atom=-2.28 magnetic_moment_mub_per_cell=0.00 pbc="T T T"
Tb -4.9718 5.9235 4.0209
Tb -1.4314 3.7379 6.3197
Tb -1.4119 0.4097 2.9091
Tb -4.9913 9.2517 7.4315
Tl -3.4790 5.5361 1.2389
Tl 1.7652 0.4883 2.7750
Cd 0.0000 0.0000 0.0000
Cd -1.7138 6.0244 4.0139
Cd -3.4621 8.7452 4.5731
Cd 0.0345 3.3037 3.4546
Cd -1.6826 2.7389 0.6625
Cd -1.7451 9.3100 7.3653
Cd -6.7077 8.6620 4.6145
Cd 0.3045 0.9994 5.7261
Cd -3.1224 3.1553 3.5428
Cd -3.2809 6.5061 6.7978

=====

11
Lattice="0.9414 1.0386 5.8068 -1.5374 -6.4974 5.2631 7.9924 -0.9737 2.7302" Properties=species:S:1:pos:R:3 comment="PBE Ce2Ho2Er7, relaxed" delta_e_f_ev_per_atom=0.2104 de_polymorph_ev_per_fu=0.05 mass_density_g_cm3=8.537 dft_energy_ev_per_atom=-4.60 magnetic_moment_mub_per_cell=2.56 pbc="T T T"
Ce 1.5986 -1.5737 2.5825
Ce 5.7978 -4.8588 11.2176
Ho 6.4256 -1.6354 6.1751
Ho 0.9708 -4.7971 7.6250
Er 4.7504 -0.8281 2.9315
Er 7.6100 -2.7271 9.5493
Er 2.6460 -5.6044 10.8687
Er -0.2136 -3.7054 4.2509
Er 0.0000 0.0000 0.0000
Er 4.3801 -3.7287 8.3480
Er 3.0163 -2.7038 5.4521

=====

6
Lattice="-0.8388 0.9448 5.6377 2.8819 -3.1247 3.9129 4.5459 2.8147 3.1650" Properties=species:S:1:pos:R:3 comment="PBE CeSc5, relaxed" delta_e_f_ev_per_atom=0.0422 de_polymorph_ev_per_fu=0.00 mass_density_g_cm3=3.999 dft_energy_ev_per_atom=-6.22 magnetic_moment_mub_per_cell=0.30 pbc="T T T"
Ce 3.2945 0.3174 6.3578
Sc 0.9731 -1.0551 1.3212
Sc -0.5556 0.6258 3.7341
Sc 1.6256 -1.7506 4.4952
Sc 3.9761 -0.4086 9.5413
Sc 2.6128 1.0435 3.1743